# 1
AlPb2Br at its PBEsol-relaxed geometry, computed with SCAN.

Geometry as POSCAR:
```
AlPb2Br
1.0
2.466 -2.481 0.000
2.466 2.481 0.000
0.000 0.000 8.447
Al Pb Br
1 2 1
direct
0.000 0.000 0.000
0.500 0.500 0.230
0.500 0.500 0.770
0.000 0.000 0.500
```

***

# 2
AlPbBr at its PBEsol-relaxed geometry, computed with SCAN.

Geometry as POSCAR:
```
AlPbBr
1.0
3.500 0.000 0.000
-1.750 3.031 0.000
0.000 0.000 7.300
Al Pb Br
1 1 1
direct
0.000 0.000 0.000
0.667 0.333 0.298
0.333 0.667 0.759
```

***

# 3
AlPdSe2Br at its PBEsol-relaxed geometry, computed with SCAN.

Geometry as POSCAR:
```
AlPdSe2Br
1.0
4.886 0.000 0.000
0.000 4.886 0.000
0.000 0.000 5.011
Al Pd Se Br
1 1 2 1
direct
0.000 0.000 0.000
0.500 0.500 0.500
0.000 0.500 0.500
0.500 0.000 0.500
0.500 0.500 0.000
```

***

# 4
PrAl3Br12 at its PBEsol-relaxed geometry, computed with SCAN.

Geometry as POSCAR:
```
PrAl3Br12
1.0
10.586 0.000 0.000
-5.293 9.167 0.000
0.000 0.000 18.528
Pr Al Br
3 9 36
direct
0.000 0.742 0.167
0.258 0.258 0.500
0.742 0.000 0.833
0.000 0.084 0.667
0.084 0.000 0.333
0.300 0.651 0.232
0.349 0.649 0.565
0.351 0.700 0.899
0.649 0.349 0.435
0.651 0.300 0.768
0.700 0.351 0.101
0.916 0.916 0.000
0.039 0.226 0.769
0.057 0.195 0.368
0.075 0.604 0.285
0.138 0.943 0.034
0.151 0.712 0.866
0.187 0.961 0.436
0.195 0.057 0.632
0.198 0.686 0.637
0.224 0.515 0.461
0.226 0.039 0.231
0.288 0.440 0.200
0.291 0.776 0.128
0.314 0.512 0.970
0.396 0.471 0.618
0.440 0.288 0.800
0.471 0.396 0.382
0.485 0.709 0.794
0.488 0.802 0.304
0.512 0.314 0.030
0.515 0.224 0.539
0.529 0.925 0.952
0.560 0.849 0.533
0.604 0.075 0.715
0.686 0.198 0.363
0.709 0.485 0.206
0.712 0.151 0.134
0.774 0.813 0.102
0.776 0.291 0.872
0.802 0.488 0.696
0.805 0.862 0.701
0.813 0.774 0.898
0.849 0.560 0.467
0.862 0.805 0.299
0.925 0.529 0.048
0.943 0.138 0.966
0.961 0.187 0.564
```

***

# 5
RbAl2Br at its PBEsol-relaxed geometry, computed with SCAN.

Geometry as POSCAR:
```
RbAl2Br
1.0
-2.361 2.361 11.353
2.361 -2.361 11.353
2.361 2.361 -11.353
Rb Al Br
2 4 2
direct
0.000 0.000 0.000
0.750 0.250 0.500
0.260 0.625 0.135
0.375 0.510 0.635
0.490 0.125 0.865
0.875 0.740 0.365
0.250 0.750 0.500
0.500 0.500 0.000
```

***

# 6
RbAlBr4 at its PBEsol-relaxed geometry, computed with SCAN.

Geometry as POSCAR:
```
RbAlBr4
1.0
11.491 0.000 0.000
0.000 7.346 0.000
0.000 0.000 10.047
Rb Al Br
4 4 16
direct
0.193 0.250 0.210
0.307 0.750 0.710
0.693 0.250 0.290
0.807 0.750 0.790
0.062 0.250 0.688
0.438 0.750 0.188
0.562 0.250 0.812
0.938 0.750 0.312
0.065 0.502 0.828
0.065 0.998 0.828
0.104 0.750 0.438
0.232 0.250 0.564
0.268 0.750 0.064
0.396 0.250 0.938
0.435 0.002 0.328
0.435 0.498 0.328
0.565 0.502 0.672
0.565 0.998 0.672
0.604 0.750 0.062
0.732 0.250 0.936
0.768 0.750 0.436
0.896 0.250 0.562
0.935 0.002 0.172
0.935 0.498 0.172
```

***

# 7
Al2ReBr at its PBEsol-relaxed geometry, computed with SCAN.

Geometry as POSCAR:
```
Al2ReBr
1.0
-1.996 1.996 3.999
1.996 -1.996 3.999
1.996 1.996 -3.999
Al Re Br
2 1 1
direct
0.250 0.750 0.500
0.750 0.250 0.500
0.000 0.000 0.000
0.500 0.500 0.000
```

## Properties
E above lowest polymorph: 198 meV/atom

***

# 8
AlReBr2 at its PBEsol-relaxed geometry, computed with SCAN.

Geometry as POSCAR:
```
AlReBr2
1.0
1.506 -2.815 0.000
1.506 2.815 0.000
0.000 0.000 9.376
Al Re Br
1 1 2
direct
0.000 0.000 0.000
0.000 0.000 0.500
0.500 0.500 0.283
0.500 0.500 0.717
```

## Properties
E above lowest polymorph: 282 meV/atom

***

# 9
Al2ReBr at its PBEsol-relaxed geometry, computed with SCAN.

Geometry as POSCAR:
```
Al2ReBr
1.0
3.022 0.000 0.000
0.000 3.022 0.000
0.000 0.000 7.569
Al Re Br
2 1 1
direct
0.000 0.000 0.000
0.500 0.500 0.235
0.500 0.500 0.801
0.000 0.000 0.575
```

## Properties
E above lowest polymorph: 0 meV/atom

***

# 10
AlReBr2 at its PBEsol-relaxed geometry, computed with SCAN.

Geometry as POSCAR:
```
AlReBr2
1.0
-4.328 4.328 2.504
4.328 -4.328 2.504
4.328 4.328 -2.504
Al Re Br
2 2 4
direct
0.000 0.000 0.000
0.750 0.250 0.500
0.250 0.750 0.500
0.500 0.500 0.000
0.252 0.625 0.127
0.375 0.502 0.627
0.498 0.125 0.873
0.875 0.748 0.373
```

## Properties
E above lowest polymorph: 0 meV/atom

***

# 11
AlReBr at its PBEsol-relaxed geometry, computed with SCAN.

Geometry as POSCAR:
```
AlReBr
1.0
-1.516 1.516 5.762
1.516 -1.516 5.762
1.516 1.516 -5.762
Al Re Br
1 1 1
direct
0.000 0.000 0.000
0.375 0.375 0.000
0.721 0.721 0.000
```

***

# 12
AlRe2Br at its PBEsol-relaxed geometry, computed with SCAN.

Geometry as POSCAR:
```
AlRe2Br
1.0
1.473 0.850 8.452
-1.473 0.850 8.452
0.000 -1.701 8.452
Al Re Br
1 2 1
direct
0.000 0.000 0.000
0.491 0.491 0.491
0.746 0.746 0.746
0.254 0.254 0.254
```

***

# 13
AlRu2Br at its PBEsol-relaxed geometry, computed with SCAN.

Geometry as POSCAR:
```
AlRu2Br
1.0
4.188 -1.457 0.000
4.188 1.457 0.000
-1.062 0.000 4.837
Al Ru Br
1 2 1
direct
0.000 0.000 0.000
0.261 0.261 0.765
0.739 0.739 0.235
0.500 0.500 0.500
```

## Properties
E above lowest polymorph: 279 meV/atom

***

# 14
AlRu2Br at its PBEsol-relaxed geometry, computed with SCAN.

Geometry as POSCAR:
```
AlRu2Br
1.0
2.930 0.000 0.000
0.000 2.934 0.000
0.000 0.000 7.496
Al Ru Br
1 2 1
direct
0.000 0.000 0.000
0.000 0.000 0.585
0.500 0.500 0.794
0.000 0.500 0.306
```

## Properties
E above lowest polymorph: 0 meV/atom

***

# 15
AlRu2Br at its PBEsol-relaxed geometry, computed with SCAN.

Geometry as POSCAR:
```
AlRu2Br
1.0
2.975 0.000 0.000
0.000 3.015 0.000
0.000 0.000 7.011
Al Ru Br
1 2 1
direct
0.000 0.000 0.000
0.500 0.500 0.202
0.500 0.500 0.798
0.000 0.500 0.500
```

## Properties
E above lowest polymorph: 27 meV/atom

***

# 16
AlRu2Br at its PBEsol-relaxed geometry, computed with SCAN.

Geometry as POSCAR:
```
AlRu2Br
1.0
4.270 0.000 0.000
0.000 2.946 0.000
-1.879 0.000 4.669
Al Ru Br
1 2 1
direct
0.000 0.000 0.000
0.500 0.000 0.500
0.500 0.500 0.000
0.000 0.500 0.500
```

## Properties
E above lowest polymorph: 297 meV/atom

***

# 17
AlRuBr at its PBEsol-relaxed geometry, computed with SCAN.

Geometry as POSCAR:
```
AlRuBr
1.0
0.000 3.014 3.014
3.014 0.000 3.014
3.014 3.014 0.000
Al Ru Br
1 1 1
direct
0.000 0.000 0.000
0.500 0.500 0.500
0.250 0.250 0.250
```

***

# 18
AlRu2Br at its PBEsol-relaxed geometry, computed with SCAN.

Geometry as POSCAR:
```
AlRu2Br
1.0
2.892 0.000 0.000
0.000 2.892 0.000
0.000 0.000 7.516
Al Ru Br
1 2 1
direct
0.000 0.000 0.000
0.000 0.000 0.572
0.500 0.500 0.788
0.500 0.500 0.323
```

## Properties
E above lowest polymorph: 151 meV/atom

***

# 19
AlRu2Br at its PBEsol-relaxed geometry, computed with SCAN.

Geometry as POSCAR:
```
AlRu2Br
1.0
1.489 0.860 8.036
-1.489 0.860 8.036
0.000 -1.720 8.036
Al Ru Br
1 2 1
direct
0.000 0.000 0.000
0.256 0.256 0.256
0.510 0.510 0.510
0.751 0.751 0.751
```

## Properties
E above lowest polymorph: 247 meV/atom

***

# 20
AlS2Br at its PBEsol-relaxed geometry, computed with SCAN.

Geometry as POSCAR:
```
AlS2Br
1.0
0.000 3.250 3.250
3.250 0.000 3.250
3.250 3.250 0.000
Al S Br
1 2 1
direct
0.000 0.000 0.000
0.250 0.250 0.250
0.750 0.750 0.750
0.500 0.500 0.500
```

***

# 21
AlSbBr at its PBEsol-relaxed geometry, computed with SCAN.

Geometry as POSCAR:
```
AlSbBr
1.0
0.000 3.474 3.474
3.474 0.000 3.474
3.474 3.474 0.000
Al Sb Br
1 1 1
direct
0.000 0.000 0.000
0.250 0.250 0.250
0.500 0.500 0.500
```

***

# 22
AlSbTe2Br at its PBEsol-relaxed geometry, computed with SCAN.

Geometry as POSCAR:
```
AlSbTe2Br
1.0
5.482 0.000 0.000
0.000 5.482 0.000
0.000 0.000 5.489
Al Sb Te Br
1 1 2 1
direct
0.000 0.000 0.000
0.500 0.500 0.000
0.000 0.500 0.500
0.500 0.000 0.500
0.500 0.500 0.500
```

***

# 23
ScAlBr2 at its PBEsol-relaxed geometry, computed with SCAN.

Geometry as POSCAR:
```
ScAlBr2
1.0
-4.395 4.395 2.964
4.395 -4.395 2.964
4.395 4.395 -2.964
Sc Al Br
2 2 4
direct
0.000 0.000 0.000
0.750 0.250 0.500
0.250 0.750 0.500
0.500 0.500 0.000
0.012 0.125 0.387
0.375 0.988 0.113
0.738 0.625 0.613
0.875 0.262 0.887
```

## Properties
E above lowest polymorph: 146 meV/atom

***

# 24
ScAlBr2 at its PBEsol-relaxed geometry, computed with SCAN.

Geometry as POSCAR:
```
ScAlBr2
1.0
0.000 3.594 3.594
3.594 0.000 3.594
3.594 3.594 0.000
Sc Al Br
1 1 2
direct
0.000 0.000 0.000
0.250 0.250 0.250
0.500 0.500 0.500
0.750 0.750 0.750
```

## Properties
E above lowest polymorph: 668 meV/atom

***

# 25
ScAlBr at its PBEsol-relaxed geometry, computed with SCAN.

Geometry as POSCAR:
```
ScAlBr
1.0
0.000 3.237 3.237
3.237 0.000 3.237
3.237 3.237 0.000
Sc Al Br
1 1 1
direct
0.000 0.000 0.000
0.500 0.500 0.500
0.750 0.750 0.750
```

***

# 26
Sc2AlBr at its PBEsol-relaxed geometry, computed with SCAN.

Geometry as POSCAR:
```
Sc2AlBr
1.0
1.719 0.993 8.095
-1.719 0.993 8.095
0.000 -1.985 8.095
Sc Al Br
2 1 1
direct
0.248 0.248 0.248
0.752 0.752 0.752
0.500 0.500 0.500
0.000 0.000 0.000
```

## Properties
E above lowest polymorph: 68 meV/atom

***

| no. | formation energy from raw total energies (eV per atom) | DFT total energy (eV/atom) | calculated volume (Å³/cell) |
| --- | --- | --- | --- |
| 1 | -0.0784 | -44.77 | 103 |
| 2 | -0.2422 | -34.57 | 77 |
| 3 | 0.2723 | -19.76 | 120 |
| 4 | -1.4520 | -20.21 | 1798 |
| 5 | -0.1581 | -14.08 | 253 |
| 6 | -1.5570 | -19.28 | 848 |
| 7 | 0.7264 | -25.79 | 64 |
| 8 | 0.8252 | -28.62 | 79 |
| 9 | 0.5282 | -25.99 | 69 |
| 10 | 0.5430 | -28.90 | 188 |
| 11 | 0.7286 | -32.04 | 53 |
| 12 | 0.3425 | -42.01 | 64 |
| 13 | 0.3584 | -23.86 | 59 |
| 14 | 0.0799 | -24.14 | 64 |
| 15 | 0.1073 | -24.11 | 63 |
| 16 | 0.3766 | -23.84 | 59 |
| 17 | 1.2033 | -19.48 | 55 |
| 18 | 0.2308 | -23.99 | 63 |
| 19 | 0.3272 | -23.89 | 62 |
| 20 | 0.5688 | -11.05 | 69 |
| 21 | 0.3135 | -21.18 | 84 |
| 22 | 0.9945 | -26.80 | 165 |
| 23 | -0.6228 | -15.85 | 229 |
| 24 | -0.1005 | -15.33 | 93 |
| 25 | 0.1956 | -13.62 | 68 |
| 26 | -0.6300 | -14.55 | 83 |